Entry 1:
# Zr2TlPb

A PBEsol-optimized structure of Zr2TlPb (meta-GGA SCAN, Alexandria via LeMat-Bulk).

a b c (Å): 5.376 5.376 5.376
angles (deg): 129.99 129.99 73.42
Fractional positions:
Zr: 0.250 0.750 0.500
Zr: 0.750 0.250 0.500
Tl: 0.000 0.000 0.000
Pb: 0.500 0.500 0.000

Results
Energy relative to the elements in eV/atom: -0.29
Space-group type: I4/mmm

---

Entry 2:
# Zr2TlPb

A PBEsol-optimized structure of Zr2TlPb (meta-GGA SCAN, Alexandria via LeMat-Bulk).

a b c (Å): 4.551 4.551 4.298
angles (deg): 90.00 90.00 90.00
Fractional positions:
Zr: 0.000 0.500 0.000
Zr: 0.500 0.000 0.000
Tl: 0.000 0.000 0.500
Pb: 0.500 0.500 0.500

Results
Energy relative to the elements in eV/atom: -0.29
Space-group type: P4/mmm

---

| no. | energy above the lowest structure with this stoichiometry (kJ/mol of formula units) | total magnetic moment (Bohr magnetons per cell) |
| --- | --- | --- |
| 1 | 0 | 0.00 |
| 2 | 1 | 0.00 |